A plane-wave DFT calculation with PBEsol was carried out for crystalline CrNi3 at its relaxed geometry.

Values from the calculation:
Total magnetization, μB per cell: 0.0
Formation energy from the elements, eV per atom: 0.01
Space group: No. 12

a b c (Å): 2.4356 4.2684 4.2532
angles (deg): 99.15 106.64 89.99
Sites, in units of the cell vectors:
Ni 0.2494 0.7523 0.4986
Ni 0.5000 0.5000 0.0000
Ni 0.7507 0.2477 0.5014
Cr 0.0000 0.0000 0.0000


A plane-wave DFT calculation with PBEsol was carried out for crystalline Ta2CoHg at its relaxed geometry.

Values from the calculation:
Total magnetization, μB per cell: 0.1
Formation energy from the elements, eV per atom: 0.19
Space group: No. 71

a b c (Å): 3.5168 4.2737 5.0546
angles (deg): 115.01 110.36 90.00
Site moments in Bohr magnetons follow the coordinates.
Sites, in units of the cell vectors:
Hg 0.0000 0.5000 0.0000  0.00
Co 0.5000 0.0000 0.0000  0.14
Ta 0.2346 0.2346 0.4693  0.00
Ta 0.7654 0.7654 0.5307  0.00


A plane-wave DFT calculation with PBEsol was carried out for crystalline MgZrTc2 at its relaxed geometry.

Values from the calculation:
Total magnetization, μB per cell: 0.0
Formation energy from the elements, eV per atom: 0.16
Space group: No. 123

a b c (Å): 3.3880 4.3824 4.3824
angles (deg): 89.99 90.00 90.00
Sites, in units of the cell vectors:
Zr 0.5000 0.0000 0.0000
Tc 0.0000 0.5000 0.0000
Tc 0.0000 0.0000 0.5000
Mg 0.5000 0.5000 0.5000


A plane-wave DFT calculation with PBEsol was carried out for crystalline Ca2CrW at its relaxed geometry.

Values from the calculation:
Total magnetization, μB per cell: 2.9
Formation energy from the elements, eV per atom: 1.17
Offset from the most stable computed form, eV per atom: 0.4212
Space group: No. 12

a b c (Å): 2.9448 5.4497 5.4130
angles (deg): 96.66 105.78 90.00
Site moments in Bohr magnetons follow the coordinates.
Sites, in units of the cell vectors:
Ca 0.2515 0.2554 0.5030  -0.04
Ca 0.7485 0.7446 0.4970  -0.04
Cr 0.5000 0.0000 0.0000  3.28
W 0.0000 0.5000 0.0000  -0.50


A plane-wave DFT calculation with PBEsol was carried out for crystalline MgSiNi at its relaxed geometry.

Values from the calculation:
Total magnetization, μB per cell: 0.0
Raw formation energy, eV/atom: -0.301
Space group: No. 107

a b c (Å): 2.9331 2.9331 5.2643
angles (deg): 106.18 106.18 90.00
Sites, in units of the cell vectors:
Mg 0.0056 0.0056 0.0112
Ni 0.6933 0.6933 0.3866
Si 0.3011 0.3011 0.6022


A plane-wave DFT calculation with PBEsol was carried out for crystalline Cd2HgPd2 at its relaxed geometry.

Values from the calculation:
Total magnetization, μB per cell: 0.0
Formation energy from the elements, eV per atom: -0.27
Space group: No. 127

a b c (Å): 3.6218 7.1194 7.1194
angles (deg): 90.00 90.00 90.00
Sites, in units of the cell vectors:
Hg 0.0000 0.5000 0.5000
Hg 0.0000 0.0000 0.0000
Pd 0.0000 0.3610 0.8610
Pd 0.0000 0.1390 0.3610
Pd 0.0000 0.8610 0.6390
Pd 0.0000 0.6390 0.1390
Cd 0.5000 0.8418 0.3418
Cd 0.5000 0.1582 0.6582
Cd 0.5000 0.3418 0.1582
Cd 0.5000 0.6582 0.8418


A plane-wave DFT calculation with PBEsol was carried out for crystalline NaPr2S2O8F3 at its relaxed geometry.

Values from the calculation:
Total magnetization, μB per cell: 0.0
Raw formation energy, eV/atom: -2.621
Space group: No. 15

a b c (Å): 6.8939 8.1917 8.5139
angles (deg): 113.37 113.88 90.00
Sites, in units of the cell vectors:
O 0.4555 0.1527 0.6096
O 0.4711 0.8872 0.7600
O 0.1305 0.9743 0.7361
O 0.5445 0.8473 0.3904
O 0.5289 0.1128 0.2400
O 0.3944 0.5257 0.2639
O 0.7303 0.6813 0.5544
O 0.7111 0.6128 0.2400
O 0.8241 0.1813 0.5544
O 0.8695 0.0257 0.2639
O 0.1541 0.6527 0.6096
O 0.1759 0.8187 0.4456
O 0.2889 0.3872 0.7600
O 0.6056 0.4743 0.7361
O 0.2697 0.3187 0.4456
O 0.8459 0.3473 0.3904
Na 0.6225 0.7500 0.0000
Na 0.3775 0.2500 0.0000
F 0.0117 0.3404 0.9116
F 0.7123 0.2500 0.0000
F 0.8999 0.8404 0.9116
F 0.9883 0.6596 0.0884
F 0.1001 0.1596 0.0884
F 0.2877 0.7500 0.0000
Pr 0.9719 0.5383 0.7607
Pr 0.7888 0.0383 0.7607
Pr 0.2112 0.9617 0.2393
Pr 0.0281 0.4617 0.2393
S 0.4061 0.3375 0.6410
S 0.2349 0.8375 0.6410
S 0.5939 0.6625 0.3590
S 0.7651 0.1625 0.3590


A plane-wave DFT calculation with PBEsol was carried out for crystalline CaPtF6 at its relaxed geometry.

Values from the calculation:
Total magnetization, μB per cell: 0.0
Raw formation energy, eV/atom: -2.360
Space group: No. 148

a b c (Å): 5.2490 5.2490 5.7698
angles (deg): 62.94 62.94 60.00
Sites, in units of the cell vectors:
Ca 0.5000 0.5000 0.5000
F 0.7772 0.0798 0.7670
F 0.0798 0.3759 0.7670
F 0.3759 0.7772 0.7670
F 0.2228 0.9202 0.2330
F 0.9202 0.6241 0.2330
F 0.6241 0.2228 0.2330
Pt 0.0000 0.0000 0.0000


A plane-wave DFT calculation with PBEsol was carried out for crystalline IrRu3 at its relaxed geometry.

Values from the calculation:
Total magnetization, μB per cell: 0.0
Formation energy from the elements, eV per atom: 0.01
Space group: No. 59

a b c (Å): 4.6449 5.3612 13.0170
angles (deg): 90.00 90.00 90.00
Sites, in units of the cell vectors:
Ru 0.6669 0.7505 0.3356
Ru 0.3331 0.2505 0.8356
Ru 0.6669 0.7505 0.6644
Ru 0.6669 0.2495 0.3356
Ru 0.9998 0.2501 0.5000
Ru 0.8340 0.0000 0.1649
Ru 0.3331 0.7495 0.8356
Ru 0.1660 0.5000 0.6649
Ru 0.3331 0.2505 0.1644
Ru 0.6669 0.2495 0.6644
Ru 0.3331 0.7495 0.1644
Ru 0.5013 0.0000 0.5000
Ru 0.8340 0.0000 0.8351
Ru 0.4987 0.5000 0.0000
Ru 0.9998 0.7499 0.5000
Ru 0.0002 0.2499 0.0000
Ru 0.1660 0.5000 0.3351
Ru 0.0002 0.7501 0.0000
Ir 0.1660 0.0000 0.6655
Ir 0.8340 0.5000 0.8345
Ir 0.5004 0.5000 0.5000
Ir 0.4996 0.0000 0.0000
Ir 0.8340 0.5000 0.1655
Ir 0.1660 0.0000 0.3345


A plane-wave DFT calculation with PBEsol was carried out for crystalline LiTc3H at its relaxed geometry.

Values from the calculation:
Total magnetization, μB per cell: 0.0
Space group: No. 221
E, eV/atom: -7.462

a b c (Å): 3.8313 3.8313 3.8313
angles (deg): 90.00 90.00 90.00
Sites, in units of the cell vectors:
H 0.0000 0.0000 0.0000
Tc 0.5000 0.0000 0.0000
Tc 0.0000 0.0000 0.5000
Tc 0.0000 0.5000 0.0000
Li 0.5000 0.5000 0.5000


A plane-wave DFT calculation with PBEsol was carried out for crystalline Ca2CuSe at its relaxed geometry.

Values from the calculation:
Total magnetization, μB per cell: 0.0
Raw formation energy, eV/atom: -0.800
Space group: No. 123

a b c (Å): 3.6474 4.9344 4.9344
angles (deg): 90.00 90.00 90.00
Sites, in units of the cell vectors:
Se 0.5000 0.0000 0.0000
Cu 0.5000 0.5000 0.5000
Ca 0.0000 0.0000 0.5000
Ca 0.0000 0.5000 0.0000


A plane-wave DFT calculation with PBEsol was carried out for crystalline ScSiTeN2 at its relaxed geometry.

Values from the calculation:
Total magnetization, μB per cell: 0.0
Raw formation energy, eV/atom: 0.765
Space group: No. 123

a b c (Å): 4.0340 4.0340 5.7857
angles (deg): 90.00 90.00 90.00
Sites, in units of the cell vectors:
Sc 0.0000 0.0000 0.0000
Si 0.5000 0.5000 0.5000
N 0.0000 0.5000 0.0000
N 0.5000 0.0000 0.0000
Te 0.0000 0.0000 0.5000